The following is a PBE-GGA calculation of crystalline HRu2I at its relaxed geometry, from Alexandria.

Cell lengths 5.960, 5.960, 5.960 Å; angles 130.55, 130.55, 72.53 degrees
Atoms (fractional coordinates):
H  0.000  0.000  0.000
H  0.750  0.250  0.500
Ru  0.375  0.239  0.364
Ru  0.761  0.125  0.136
Ru  0.875  0.011  0.636
Ru  0.989  0.625  0.864
I  0.250  0.750  0.500
I  0.500  0.500  0.000

energy above the lowest structure with this stoichiometry = 0 meV/atom
calculated volume = 119.5 Å³ per cell



The following is a PBE-GGA calculation of crystalline CdSi2Br at its relaxed geometry, from Alexandria.

Cell lengths 4.895, 4.895, 4.895 Å; angles 119.22, 119.22, 91.36 degrees
Atoms (fractional coordinates):
Cd  0.000  0.000  0.000
Si  0.500  0.500  0.000
Si  0.750  0.250  0.500
Br  0.250  0.750  0.500

energy above the lowest structure with this stoichiometry = 593 meV/atom
calculated volume = 83.9 Å³ per cell
raw formation energy = 2.461 eV per formula unit



The following is a PBE-GGA calculation of crystalline ZnICl6 at its relaxed geometry, from Alexandria.

Cell lengths 6.729, 6.729, 7.341 Å; angles 98.80, 98.80, 117.84 degrees
Atoms (fractional coordinates):
Zn  0.000  0.000  0.000
I  0.500  0.500  0.500
Cl  0.142  0.447  0.292
Cl  0.202  0.202  0.831
Cl  0.447  0.142  0.292
Cl  0.553  0.858  0.708
Cl  0.798  0.798  0.169
Cl  0.858  0.553  0.708

calculated volume = 280.8 Å³ per cell
raw formation energy = -3.008 eV per formula unit